(1)
SiNiAu2: relaxed, PBE.

Geometry as extended XYZ:
```
4
Lattice="-1.1486 -3.8227 1.9476 3.1344 -2.9015 1.2176 0.8735 -0.6486 4.3060" Properties=species:S:1:pos:R:3 pbc="T T T"
Ni 1.4296 -3.6864 3.7356
Au 0.7148 -1.8432 1.8678
Au 0.0000 0.0000 0.0000
Si 2.1444 -5.5296 5.6035
```

Properties
- density of states at the Fermi level (states/eV per atom) = 0.68
- space group = F-43m
- formation energy without anion corrections (meV/atom) = 159



(2)
Al3CrAs: relaxed, PBE.

Geometry as extended XYZ:
```
5
Lattice="-2.1552 2.3527 3.4339 0.3853 -3.7375 2.8025 4.1446 1.5708 1.5251" Properties=species:S:1:pos:R:3 pbc="T T T"
Cr 0.0000 0.0000 0.0000
Al 2.0723 0.7854 0.7626
Al -1.0776 1.1763 1.7169
Al 0.1926 -1.8688 1.4013
As 1.1873 0.0930 3.8807
```

Properties
- density of states at the Fermi level (states/eV per atom) = 0.88
- space group = Pm-3m
- ΔH_f (0 K) (meV/atom) = 734



(3)
SnHIN2: relaxed, PBE.

Geometry as extended XYZ:
```
5
Lattice="-3.1946 -1.4990 1.8580 1.8671 0.3654 3.5050 -2.6139 6.4616 0.7189" Properties=species:S:1:pos:R:3 pbc="T T T"
N -1.5973 -0.7495 0.9290
N 0.9336 0.1827 1.7525
H -1.9707 2.6640 3.0409
Sn 0.0000 0.0000 0.0000
I -1.3069 3.2308 0.3594
```

Properties
- density of states at the Fermi level (states/eV per atom) = 0.99
- space group = P4/mmm
- DFT total energy (eV per cell) = -17.25



(4)
Ag2B2Br7: relaxed, PBE.

Geometry as extended XYZ:
```
22
Lattice="-0.5677 -5.6501 -4.5471 -0.7575 -4.2873 5.8282 -14.7233 2.1386 -0.5502" Properties=species:S:1:pos:R:3 pbc="T T T"
Br -2.6797 -5.0258 2.4722
Br -4.5748 -6.6789 -1.2065
Br -6.0740 -3.3618 2.1916
Br -13.3688 -2.7729 -1.7414
Br -4.4288 -3.8212 5.1682
Br -9.9745 -4.4369 -1.4607
Br -11.4737 -1.1198 1.9374
Br -7.4234 -7.2957 0.3771
Br -8.6251 -0.5030 0.3538
Br -4.0401 -2.7055 -1.7187
Br -14.8011 -6.1114 0.9775
Br -12.0084 -5.0932 2.4495
Br -11.6197 -3.9775 -4.4374
Br -1.2474 -1.6873 -0.2466
B -5.3805 -2.4227 3.8118
B -3.4354 -5.5181 4.2540
B -12.6131 -2.2807 -3.5232
B -10.6680 -5.3761 -3.0810
Ag -14.3652 -5.4241 -1.8398
Ag -1.6833 -2.3746 2.5706
Ag -7.0858 -5.9023 2.9352
Ag -8.9627 -1.8964 -2.2043
```

Properties
- density of states at the Fermi level (states/eV per atom) = 0.18
- space group = C2/c
- formation energy without anion corrections (meV/atom) = -224



(5)
Li4ScGa4: relaxed, PBE.

Geometry as extended XYZ:
```
18
Lattice="5.7526 0.0000 0.0000 0.0000 5.7526 0.0000 0.0000 0.0000 9.1095" Properties=species:S:1:pos:R:3 pbc="T T T"
Li 2.8763 4.4842 0.6379
Li 2.8763 1.2684 0.6379
Li 1.2684 2.8763 8.4716
Li 0.0000 4.1447 3.9169
Li 1.6079 0.0000 5.1927
Li 4.4842 2.8763 8.4716
Li 4.1447 0.0000 5.1927
Li 0.0000 1.6079 3.9169
Sc 0.0000 0.0000 0.0000
Sc 2.8763 2.8763 4.5548
Ga 4.4143 2.8763 2.0286
Ga 4.2146 0.0000 2.5261
Ga 2.8763 1.3383 7.0809
Ga 2.8763 4.4143 7.0809
Ga 1.5380 0.0000 2.5261
Ga 1.3383 2.8763 2.0286
Ga 0.0000 4.2146 6.5834
Ga 0.0000 1.5380 6.5834
```

Properties
- density of states at the Fermi level (states/eV per atom) = 0.31
- space group = P4_2/nmc
- ΔH_f (0 K) (meV/atom) = -216



(6)
LiZnBiAu: relaxed, PBE.

Geometry as extended XYZ:
```
4
Lattice="-1.2089 -1.4629 -4.4131 2.7639 -3.1706 -2.3208 -1.5615 -4.4890 -0.6988" Properties=species:S:1:pos:R:3 pbc="T T T"
Bi -0.0049 -6.8418 -5.5746
Au -0.0016 -2.2806 -1.8582
Zn 0.0000 0.0000 0.0000
Li -0.0033 -4.5612 -3.7164
```

Properties
- density of states at the Fermi level (states/eV per atom) = 0.86
- space group = F-43m
- ΔH_f (0 K) (meV/atom) = -157



(7)
B2C: relaxed, PBE.

Geometry as extended XYZ:
```
12
Lattice="-2.5714 -0.8388 -0.4033 1.8278 -0.1708 -2.0269 4.0315 -14.7021 4.8740" Properties=species:S:1:pos:R:3 pbc="T T T"
C 1.2745 -4.6478 1.5408
C 0.8850 -3.2276 1.0700
C -0.8033 -1.7164 -0.5798
C 3.2711 -11.9292 3.9547
B 1.0961 -8.6432 1.7166
B 0.6268 -1.3612 -1.1649
B 1.6860 -5.2240 0.1157
B 1.5144 -10.1687 2.2223
B -0.3897 -3.2248 -0.0797
B 2.4906 -8.1584 1.0885
B 2.8774 -10.4934 3.4787
B 3.6618 -12.4296 2.5044
```

Properties
- density of states at the Fermi level (states/eV per atom) = 0.10
- space group = P3m1
- ΔH_f (0 K) (meV/atom) = 414



(8)
Ti3PtC: relaxed, PBE.

Geometry as extended XYZ:
```
10
Lattice="-2.6788 -1.1761 1.1828 -3.0415 -1.5273 -4.1967 4.6073 -7.5319 -1.2586" Properties=species:S:1:pos:R:3 pbc="T T T"
Ti -0.4784 -3.4525 -1.9378
Ti -2.1225 -5.5894 -3.5773
Ti -3.0713 -1.8422 -1.9981
Ti -4.5548 -4.0181 -3.3121
Ti -1.0348 -8.5699 -4.0732
Ti -0.5641 -6.2383 -0.6940
C -1.1045 -4.3397 -0.0292
C -2.5312 -3.7408 -2.6635
Pt 3.2863 -7.8753 -2.0142
Pt 0.3640 -6.5603 -3.1193
```

Properties
- density of states at the Fermi level (states/eV per atom) = 0.57
- space group = C2/m
- ΔH_f (0 K) (meV/atom) = -747



no.,total magnetization (Bohr magnetons per cell)
1,0.00
2,1.69
3,0.30
4,2.02
5,0.00
6,0.00
7,0.00
8,0.00